#A
{"formula": "ZnTePb2", "functional": "PBE", "state": "relaxed", "dos_ef_per_ev_fu": 2.57, "cell": [[0.0000, 3.8656, 3.8656], [3.8656, 0.0000, 3.8656], [3.8656, 3.8656, 0.0000]], "species": ["Pb", "Zn", "Pb", "Te"], "frac_coords": [[0.2500, 0.2500, 0.2500], [0.0000, 0.0000, 0.0000], [0.7500, 0.7500, 0.7500], [0.5000, 0.5000, 0.5000]]}


#B
{"formula": "ZnTePb2", "functional": "PBE", "state": "relaxed", "dos_ef_per_ev_fu": 3.75, "cell": [[5.4370, 0.0000, 0.0000], [2.7185, 4.7086, 0.0000], [2.7185, 1.5695, 4.4393]], "species": ["Pb", "Te", "Zn", "Pb"], "frac_coords": [[0.0000, 0.0000, 0.0000], [0.5000, 0.5000, 0.5000], [0.7500, 0.7500, 0.7500], [0.2500, 0.2500, 0.2500]]}


#C
{"formula": "ZnTePb2", "functional": "PBE", "state": "relaxed", "dos_ef_per_ev_fu": 1.44, "cell": [[3.9943, 0.0000, 0.0000], [0.0000, 4.4617, -0.1088], [0.0000, 2.6600, 6.4731]], "species": ["Zn", "Te", "Pb", "Pb"], "frac_coords": [[0.5000, 0.6011, 0.7931], [0.0000, 0.6275, 0.5146], [0.5000, 0.2821, 0.2509], [0.0000, 0.9893, 0.9414]]}


Q: Which of them is the least stable? A: #B.


#A
{"formula": "ZnTePb2", "functional": "PBE", "state": "relaxed", "dos_ef_per_ev_fu": 1.54, "cell": [[-4.4880, -4.5989, -1.5015], [4.6109, -2.0067, 4.2730], [-1.6430, -0.4747, 2.8019]], "species": ["Pb", "Zn", "Pb", "Te"], "frac_coords": [[0.0000, 0.0000, 0.0000], [0.0000, 0.5000, 0.5000], [0.5000, 0.5000, 0.0000], [0.5000, 0.0000, 0.5000]]}


#B
{"formula": "ZnTePb2", "functional": "PBE", "state": "relaxed", "dos_ef_per_ev_fu": 1.77, "cell": [[-4.3410, 2.6099, -1.1673], [-1.7859, -0.8168, 4.8152], [1.8344, 3.6310, 1.2962]], "species": ["Zn", "Pb", "Te", "Pb"], "frac_coords": [[0.0000, 0.5000, 0.5000], [0.5000, 0.5000, 0.0000], [0.5000, 0.0000, 0.5000], [0.0000, 0.0000, 0.0000]]}


#C
{"formula": "ZnTePb2", "functional": "PBE", "state": "relaxed", "dos_ef_per_ev_fu": 1.96, "cell": [[5.9348, -0.0111, 0.0029], [1.7767, 5.6626, -0.0029], [-3.3356, -3.5355, 3.4052]], "species": ["Zn", "Pb", "Pb", "Te"], "frac_coords": [[0.2500, 0.7500, 0.5000], [0.4805, 0.4805, 0.0000], [0.0195, 0.0195, 0.0000], [0.7500, 0.2500, 0.5000]]}


Q: Which of them is the least stable? A: #A.


#A
{"formula": "ZnTePb2", "functional": "PBE", "state": "relaxed", "dos_ef_per_ev_fu": 2.63, "cell": [[-1.6704, 0.4085, -3.1994], [0.4119, -3.4926, 0.9085], [-8.3426, 0.1543, 4.3753]], "species": ["Pb", "Zn", "Te", "Pb"], "frac_coords": [[0.5000, 0.5000, 0.2601], [0.5000, 0.5000, 0.7344], [0.0000, 0.0000, 0.5439], [0.0000, 0.0000, 0.9615]]}


#B
{"formula": "ZnTePb2", "functional": "PBE", "state": "relaxed", "dos_ef_per_ev_fu": 2.34, "cell": [[5.4057, -0.0087, 0.0000], [-0.6567, 5.3657, 0.0000], [0.0000, 0.0000, 3.9604]], "species": ["Te", "Zn", "Pb", "Pb"], "frac_coords": [[0.5000, 0.0000, 0.5000], [0.0000, 0.5000, 0.5000], [0.0000, 0.0000, 0.0000], [0.5000, 0.5000, 0.0000]]}


#C
{"formula": "ZnTePb2", "functional": "PBE", "state": "relaxed", "dos_ef_per_ev_fu": 1.08, "cell": [[4.3836, -0.1007, 0.0770], [2.2515, 3.7625, 0.0770], [2.1339, 1.1777, 7.2302]], "species": ["Zn", "Pb", "Te", "Pb"], "frac_coords": [[0.2500, 0.2500, 0.2500], [0.9872, 0.9872, 0.0323], [0.7500, 0.7500, 0.7500], [0.5128, 0.5128, 0.4677]]}


#D
{"formula": "ZnTePb2", "functional": "PBE", "state": "relaxed", "dos_ef_per_ev_fu": 1.96, "cell": [[6.1181, -0.0003, -0.0280], [2.3045, 5.6675, 0.0280], [-3.5659, -3.7928, 3.2142]], "species": ["Pb", "Pb", "Te", "Zn"], "frac_coords": [[0.7403, 0.2403, 0.5000], [0.0332, 0.0332, 0.0000], [0.4636, 0.4636, 0.0000], [0.2630, 0.7630, 0.5000]]}


Q: Which of them is the least stable? A: #A.


#A
{"formula": "ZnTePb2", "functional": "PBE", "state": "relaxed", "dos_ef_per_ev_fu": 0.06, "cell": [[-0.3321, 6.4956, -1.1929], [-5.9874, -0.8001, -2.6900], [-6.0590, 3.8309, 4.2191]], "species": ["Pb", "Te", "Pb", "Pb", "Zn", "Zn", "Te", "Pb"], "frac_coords": [[0.3750, 0.4199, 0.7500], [0.0000, 0.0000, 0.0000], [0.8750, 0.8301, 0.7500], [0.1699, 0.6250, 0.2500], [0.5000, 0.5000, 0.0000], [0.2500, 0.7500, 0.5000], [0.7500, 0.2500, 0.5000], [0.5801, 0.1250, 0.2500]]}


#B
{"formula": "ZnTePb2", "functional": "PBE", "state": "relaxed", "dos_ef_per_ev_fu": 0.97, "cell": [[6.4908, -0.0169, 0.0000], [3.3056, 5.5861, 0.0000], [-4.8982, -2.7846, 3.2225]], "species": ["Zn", "Te", "Pb", "Pb"], "frac_coords": [[0.7500, 0.2500, 0.5000], [0.5000, 0.5000, 0.0000], [0.0000, 0.0000, 0.0000], [0.2500, 0.7500, 0.5000]]}


#C
{"formula": "ZnTePb2", "functional": "PBE", "state": "relaxed", "dos_ef_per_ev_fu": 1.68, "cell": [[4.4763, 0.0000, 0.0000], [0.0000, 4.4763, 0.0000], [0.0000, 0.0000, 6.2864]], "species": ["Pb", "Te", "Zn", "Pb"], "frac_coords": [[0.0000, 0.0000, 0.8760], [0.0000, 0.0000, 0.3760], [0.5000, 0.5000, 0.8737], [0.5000, 0.5000, 0.3743]]}


Q: Which of them is the least stable? A: #A.


#A
{"formula": "ZnTePb2", "functional": "PBE", "state": "relaxed", "dos_ef_per_ev_fu": 1.01, "cell": [[-8.3288, -1.3692, 0.8410], [-6.6336, -4.8254, 2.1592], [-6.9099, -1.6170, 4.6465]], "species": ["Te", "Pb", "Zn", "Pb"], "frac_coords": [[0.4834, 0.4834, 0.4834], [0.0126, 0.0126, 0.0126], [0.7586, 0.7586, 0.7586], [0.2454, 0.2454, 0.2454]]}


#B
{"formula": "ZnTePb2", "functional": "PBE", "state": "relaxed", "dos_ef_per_ev_fu": 1.95, "cell": [[-2.9313, -1.4882, 0.6173], [0.1844, -1.5830, -2.9408], [4.7790, -7.5933, 4.3870]], "species": ["Pb", "Pb", "Te", "Zn"], "frac_coords": [[0.0000, 0.0000, 0.5475], [0.0000, 0.0000, 0.9525], [0.5000, 0.5000, 0.2500], [0.5000, 0.5000, 0.7500]]}


Q: Which of them is the least stable? A: #B.


#A
{"formula": "Zn2TePb2", "functional": "PBE", "state": "relaxed", "dos_ef_per_ev_fu": 1.91, "cell": [[9.0867, 0.0000, 0.0000], [0.0000, 9.0867, 0.0000], [0.0000, 0.0000, 3.2890]], "species": ["Zn", "Zn", "Te", "Pb", "Zn", "Te", "Pb", "Pb", "Zn", "Pb"], "frac_coords": [[0.4006, 0.0994, 0.5000], [0.9006, 0.4006, 0.5000], [0.5000, 0.5000, 0.0000], [0.2023, 0.2977, 0.0000], [0.5994, 0.9006, 0.5000], [0.0000, 0.0000, 0.0000], [0.7977, 0.7023, 0.0000], [0.7023, 0.2023, 0.0000], [0.0994, 0.5994, 0.5000], [0.2977, 0.7977, 0.0000]]}


#B
{"formula": "Zn2TePb2", "functional": "PBE", "state": "relaxed", "dos_ef_per_ev_fu": 3.03, "cell": [[3.9056, 0.0000, 0.0000], [0.0000, 3.9056, 0.0000], [1.9528, 1.9528, 8.6891]], "species": ["Zn", "Pb", "Pb", "Zn", "Te"], "frac_coords": [[0.2500, 0.7500, 0.5000], [0.6086, 0.6086, 0.7827], [0.3913, 0.3913, 0.2173], [0.7500, 0.2500, 0.5000], [0.0000, 0.0000, 0.0000]]}


Q: Which of them is the least stable? A: #A.


#A
{"formula": "Zr3TePb", "functional": "PBE", "state": "relaxed", "dos_ef_per_ev_fu": 4.19, "cell": [[-1.1437, 1.2834, -3.7194], [-8.9930, 0.4105, 0.6506], [-2.4003, 6.2036, 2.8815]], "species": ["Te", "Zr", "Pb", "Zr", "Pb", "Te", "Zr", "Zr", "Zr", "Zr"], "frac_coords": [[0.5214, 0.0772, 0.7482], [0.7195, 0.6822, 0.5189], [0.2946, 0.5319, 0.8558], [0.9074, 0.3054, 0.7759], [0.9106, 0.2998, 0.2438], [0.1422, 0.8363, 0.2068], [0.3267, 0.4681, 0.3896], [0.0924, 0.9344, 0.5708], [0.7047, 0.7115, 0.0089], [0.5128, 0.0947, 0.1456]]}


#B
{"formula": "Zr3TePb", "functional": "PBE", "state": "relaxed", "dos_ef_per_ev_fu": 6.75, "cell": [[-0.4455, 4.7374, -2.6270], [-3.6944, -2.1935, -3.3292], [-3.9618, 1.5127, 3.3998]], "species": ["Te", "Zr", "Pb", "Zr", "Zr"], "frac_coords": [[0.5000, 0.5000, 0.5000], [0.0000, 0.5000, 0.0000], [0.0000, 0.0000, 0.0000], [0.5000, 0.0000, 0.0000], [0.0000, 0.0000, 0.5000]]}


#C
{"formula": "Zr3TePb", "functional": "PBE", "state": "relaxed", "dos_ef_per_ev_fu": 5.32, "cell": [[5.2945, 0.0000, 0.0000], [0.0000, 5.2945, 0.0000], [0.0000, 0.0000, 5.2945]], "species": ["Zr", "Zr", "Zr", "Pb", "Te"], "frac_coords": [[0.5000, 0.0000, 0.0000], [0.0000, 0.0000, 0.5000], [0.0000, 0.5000, 0.0000], [0.5000, 0.5000, 0.5000], [0.0000, 0.0000, 0.0000]]}


Q: Which of them is the least stable? A: #B.


#A
{"formula": "ThTlPb", "functional": "PBE", "state": "relaxed", "dos_ef_per_ev_fu": 2.06, "cell": [[5.3031, 0.0000, 0.0000], [2.6515, 4.5869, 0.0260], [2.6515, 1.4447, 8.1519]], "species": ["Pb", "Tl", "Tl", "Th", "Th", "Pb"], "frac_coords": [[0.1486, 0.1487, 0.5542], [0.2975, 0.2941, 0.1108], [0.7025, 0.7059, 0.8892], [0.5716, 0.5702, 0.2865], [0.4284, 0.4298, 0.7135], [0.8514, 0.8513, 0.4458]]}


#B
{"formula": "ThTlPb", "functional": "PBE", "state": "relaxed", "dos_ef_per_ev_fu": 3.17, "cell": [[-1.2513, 2.2313, -2.1438], [0.7161, -2.0409, -2.5421], [-7.9441, -3.9497, 3.1241]], "species": ["Tl", "Pb", "Th"], "frac_coords": [[0.1304, 0.1304, 0.2607], [0.7694, 0.7694, 0.5388], [0.9502, 0.9502, 0.9005]]}


Q: Which of them is the least stable? A: #B.